1.
Cr2CuSnIr: relaxed, GGA-PBE.

Output
Space group ... P4/mmm
Magnetic moment ... 6.6 μB/f.u.
Calculated volume ... 21.1 Å³ per atom
ΔE_f ... 0.8726 eV per atom

POSCAR file:
```
Cr2CuSnIr
1.0
4.6894 0.0000 0.0000
0.0000 4.7872 0.0000
0.0000 0.0000 4.6894
Cr Sn Ir Cu
2 1 1 1
direct
0.5000 0.0000 0.0000 Cr
0.0000 0.0000 0.5000 Cr
0.5000 0.5000 0.5000 Sn
0.0000 0.0000 0.0000 Ir
0.0000 0.5000 0.0000 Cu
```

***

2.
TaCrCuIr: relaxed, GGA-PBE.

Output
Space group ... F-43m
Magnetic moment ... 2.9 μB/f.u.
Calculated volume ... 14.6 Å³ per atom
ΔE_f ... -0.1441 eV per atom

POSCAR file:
```
TaCrCuIr
1.0
-2.5370 3.4027 -0.9534
-3.5326 -0.5477 -2.4789
-3.9645 0.3186 1.7622
Ta Cu Cr Ir
1 1 1 1
direct
0.7500 0.7500 0.7500 Ta
0.2500 0.2500 0.2500 Cu
0.0000 0.0000 0.0000 Cr
0.5000 0.5000 0.5000 Ir
```

***

3.
VCr2CuIr: relaxed, GGA-PBE.

Output
Space group ... P4/mmm
Magnetic moment ... 4.9 μB/f.u.
Calculated volume ... 16.6 Å³ per atom
ΔE_f ... 1.2934 eV per atom

POSCAR file:
```
VCr2CuIr
1.0
4.3699 0.0000 0.0000
0.0000 4.3528 0.0000
0.0000 0.0000 4.3699
Cr Cu V Ir
2 1 1 1
direct
0.5000 0.0000 0.0000 Cr
0.0000 0.0000 0.5000 Cr
0.0000 0.0000 0.0000 Cu
0.0000 0.5000 0.0000 V
0.5000 0.5000 0.5000 Ir
```

***

4.
ZnCrCuIr: relaxed, GGA-PBE.

Output
Space group ... F-43m
Magnetic moment ... 2.5 μB/f.u.
Calculated volume ... 13.5 Å³ per atom
ΔE_f ... 0.0294 eV per atom

POSCAR file:
```
ZnCrCuIr
1.0
-0.6783 1.9947 3.6842
-1.3605 -2.1829 3.3759
2.6029 -0.6675 3.2851
Cr Ir Cu Zn
1 1 1 1
direct
0.0000 0.0000 0.0000 Cr
0.7500 0.7500 0.7500 Ir
0.2500 0.2500 0.2500 Cu
0.5000 0.5000 0.5000 Zn
```

***

5.
K2CrCu: relaxed, GGA-PBE.

Output
Space group ... Imm2
Magnetic moment ... 4.9 μB/f.u.
Calculated volume ... 34.2 Å³ per atom
Offset from the most stable computed form ... 105.5 meV per atom
ΔE_f ... 0.7103 eV per atom

POSCAR file:
```
K2CrCu
1.0
-1.3751 -3.6029 5.3627
-5.5027 -3.6117 -0.5532
5.9194 1.0119 -2.7508
Cr K Cu
1 2 1
direct
0.4298 0.4298 0.0000 Cr
0.0339 0.0339 0.0000 K
0.7303 0.2303 0.5000 K
0.3060 0.8060 0.5000 Cu
```

***

6.
KCrCu2: relaxed, GGA-PBE.

Output
Space group ... I-4m2
Magnetic moment ... 4.7 μB/f.u.
Calculated volume ... 19.5 Å³ per atom
Offset from the most stable computed form ... 385.7 meV per atom
ΔE_f ... 0.9222 eV per atom

POSCAR file:
```
KCrCu2
1.0
5.3848 0.0188 0.0000
2.1532 4.9356 0.0000
-3.7690 -2.4772 2.9418
K Cu Cr
1 2 1
direct
0.5000 0.5000 0.0000 K
0.0000 0.0000 0.0000 Cu
0.2500 0.7500 0.5000 Cu
0.7500 0.2500 0.5000 Cr
```

***

Please write out number 1 again, unchanged.
Cr2CuSnIr: relaxed, GGA-PBE.

Output
Space group ... P4/mmm
Magnetic moment ... 6.6 μB/f.u.
Calculated volume ... 21.1 Å³ per atom
ΔE_f ... 0.8726 eV per atom

POSCAR file:
```
Cr2CuSnIr
1.0
4.6894 0.0000 0.0000
0.0000 4.7872 0.0000
0.0000 0.0000 4.6894
Cr Sn Ir Cu
2 1 1 1
direct
0.5000 0.0000 0.0000 Cr
0.0000 0.0000 0.5000 Cr
0.5000 0.5000 0.5000 Sn
0.0000 0.0000 0.0000 Ir
0.0000 0.5000 0.0000 Cu
```

***

Among the records above, which one has the highest calculated volume? K2CrCu

***

Which of these has the lowest magnetic moment? ZnCrCuIr

***

Among the records above, which one has the lowest calculated volume? ZnCrCuIr